(1)
VASP calculation (meta-GGA SCAN) on a PBEsol-optimized structure of SmTmHg2.

a = 7.3372 Å, b = 7.3372 Å, c = 7.3372 Å
α = 90.00°, β = 90.00°, γ = 90.00°
Positions (direct):
Sm1 0.0000 0.0000 0.0000
Sm2 0.0000 0.5000 0.5000
Sm3 0.5000 0.0000 0.5000
Sm4 0.5000 0.5000 0.0000
Tm1 0.0000 0.0000 0.5000
Tm2 0.0000 0.5000 0.0000
Tm3 0.5000 0.0000 0.0000
Tm4 0.5000 0.5000 0.5000
Hg1 0.2500 0.2500 0.2500
Hg2 0.2500 0.2500 0.7500
Hg3 0.2500 0.7500 0.2500
Hg4 0.2500 0.7500 0.7500
Hg5 0.7500 0.2500 0.2500
Hg6 0.7500 0.2500 0.7500
Hg7 0.7500 0.7500 0.2500
Hg8 0.7500 0.7500 0.7500

Its volume is 394.99 Å³/cell. The formation enthalpy at 0 K comes out at -268 kJ/mol of formula units. Its total DFT energy (no corrections) is -2.1625 hartree per atom. As for the space group: Fm-3m. For the density of states at the Fermi level, the calculation gives 2.318 states/eV/f.u.

=====

(2)
VASP calculation (meta-GGA SCAN) on a PBEsol-optimized structure of SnHg3.

a = 6.3611 Å, b = 6.3611 Å, c = 5.3903 Å
α = 90.00°, β = 90.00°, γ = 120.00°
Positions (direct):
Sn1 0.3333 0.6667 0.2500
Sn2 0.6667 0.3333 0.7500
Hg1 0.1660 0.3320 0.7500
Hg2 0.1660 0.8340 0.7500
Hg3 0.3320 0.1660 0.2500
Hg4 0.6680 0.8340 0.7500
Hg5 0.8340 0.1660 0.2500
Hg6 0.8340 0.6680 0.2500

Its volume is 188.89 Å³/cell. The formation enthalpy at 0 K comes out at 59 kJ/mol of formula units. Its total DFT energy (no corrections) is -2.2032 hartree per atom. As for the space group: P6_3/mmc. For the density of states at the Fermi level, the calculation gives 1.907 states/eV/f.u.

=====

(3)
VASP calculation (meta-GGA SCAN) on a PBEsol-optimized structure of Sr2SnHg2.

a = 8.4107 Å, b = 8.4107 Å, c = 4.1621 Å
α = 90.00°, β = 90.00°, γ = 90.00°
Positions (direct):
Sr1 0.1768 0.3232 0.0000
Sr2 0.3232 0.8232 0.0000
Sr3 0.6768 0.1768 0.0000
Sr4 0.8232 0.6768 0.0000
Sn1 0.0000 0.0000 0.5000
Sn2 0.5000 0.5000 0.5000
Hg1 0.1230 0.6230 0.5000
Hg2 0.3770 0.1230 0.5000
Hg3 0.6230 0.8770 0.5000
Hg4 0.8770 0.3770 0.5000

Its volume is 294.43 Å³/cell. The formation enthalpy at 0 K comes out at -308 kJ/mol of formula units. Its total DFT energy (no corrections) is -1.6170 hartree per atom. As for the space group: P4/mbm. For the density of states at the Fermi level, the calculation gives 2.481 states/eV/f.u.

=====

Q: What is the formula in the second record?
A: SnHg3

=====

Repeat the second record exactly.
VASP calculation (meta-GGA SCAN) on a PBEsol-optimized structure of SnHg3.

a = 6.3611 Å, b = 6.3611 Å, c = 5.3903 Å
α = 90.00°, β = 90.00°, γ = 120.00°
Positions (direct):
Sn1 0.3333 0.6667 0.2500
Sn2 0.6667 0.3333 0.7500
Hg1 0.1660 0.3320 0.7500
Hg2 0.1660 0.8340 0.7500
Hg3 0.3320 0.1660 0.2500
Hg4 0.6680 0.8340 0.7500
Hg5 0.8340 0.1660 0.2500
Hg6 0.8340 0.6680 0.2500

Its volume is 188.89 Å³/cell. The formation enthalpy at 0 K comes out at 59 kJ/mol of formula units. Its total DFT energy (no corrections) is -2.2032 hartree per atom. As for the space group: P6_3/mmc. For the density of states at the Fermi level, the calculation gives 1.907 states/eV/f.u.

=====

Q: Which of these has the lowest total DFT energy (no corrections)?
A: SnHg3

=====

Q: Among the records above, which one has the lowest formation enthalpy at 0 K?
A: Sr2SnHg2